DFT (PBE) results for InPb2S after structural relaxation.

```
InPb2S
1.0
2.835 -4.056 -1.945
2.739 -3.150 3.293
-1.597 -5.002 0.836
In Pb S
1 2 1
Direct
0.500 0.500 0.500
0.250 0.250 0.250
0.750 0.750 0.750
0.000 0.000 0.000
```

## Properties
**Formation energy from raw total energies**: 0.0739 eV/atom



DFT (PBE) results for Sr2AgAu2 after structural relaxation.

```
Sr2AgAu2
1.0
-6.781 1.995 3.928
-4.192 -5.139 -4.627
0.714 -3.119 2.817
Ag Au Sr
2 4 4
Direct
0.500 0.500 0.000
0.000 0.000 0.000
0.373 0.873 0.000
0.127 0.373 0.000
0.873 0.627 0.000
0.627 0.127 0.000
0.326 0.174 0.500
0.674 0.826 0.500
0.826 0.326 0.500
0.174 0.674 0.500
```

## Properties
**Electronic total energy**: -15.8 eV/f.u.



DFT (PBE) results for LiZnTe2F after structural relaxation.

```
LiZnTe2F
1.0
-1.403 -1.517 5.598
0.604 -3.080 -0.683
5.690 0.754 1.630
Te Zn F Li
2 1 1 1
Direct
0.000 0.000 0.500
0.500 0.000 0.000
0.500 0.500 0.500
0.000 0.000 0.000
0.000 0.500 0.000
```

## Properties
**Formation energy from raw total energies**: -0.6277 eV/atom



DFT (PBE) results for HfBiTe4 after structural relaxation.

```
HfBiTe4
1.0
4.024 0.000 0.000
0.000 6.722 -0.740
0.000 0.865 7.561
Te Bi Hf
4 1 1
Direct
0.000 0.267 0.702
0.000 0.733 0.298
0.500 0.256 0.155
0.500 0.744 0.845
0.500 0.000 0.500
0.000 0.000 0.000
```

## Properties
**Formation energy from raw total energies**: -0.4263 eV/atom



DFT (PBE) results for LaYIn2 after structural relaxation.

```
LaYIn2
1.0
-1.421 -4.850 -3.911
1.969 -5.853 -1.647
-2.597 -3.682 2.259
La Y In
1 1 2
Direct
0.489 0.489 0.511
0.253 0.253 0.247
0.031 0.031 0.969
0.727 0.727 0.773
```

## Properties
**Electronic total energy**: -18.6 eV/f.u.



DFT (PBE) results for Tb2PmNdHo after structural relaxation.

```
Tb2PmNdHo
1.0
-6.868 1.264 -1.643
1.544 -2.055 -8.037
-2.068 -4.503 5.183
Tb Nd Ho Pm
4 2 2 2
Direct
0.500 0.687 0.000
0.000 0.313 0.000
0.000 0.687 0.000
0.500 0.313 0.000
0.250 0.729 0.457
0.750 0.271 0.543
0.750 0.725 0.449
0.250 0.275 0.551
0.750 0.004 0.008
0.250 0.996 0.992
```

## Properties
**Electronic total energy**: -21.4 eV/f.u.



DFT (PBE) results for YCd2Pt2 after structural relaxation.

```
YCd2Pt2
1.0
-2.029 2.422 -2.102
-4.596 -5.341 1.709
-2.208 4.089 6.844
Pt Y Cd
4 2 4
Direct
0.967 0.934 0.033
0.033 0.066 0.533
0.207 0.415 0.699
0.793 0.585 0.199
0.569 0.137 0.824
0.431 0.863 0.324
0.137 0.274 0.188
0.321 0.642 0.960
0.679 0.358 0.460
0.863 0.726 0.688
```

## Properties
**Electronic total energy**: -23.4 eV/f.u.



DFT (PBE) results for RbNaOsF6 after structural relaxation.

```
RbNaOsF6
1.0
-0.598 -5.724 1.251
5.681 -0.319 1.257
-3.840 1.315 4.181
F Rb Os Na
6 1 1 1
Direct
0.690 0.726 0.714
0.310 0.286 0.274
0.310 0.989 0.714
0.310 0.726 0.011
0.690 0.286 0.011
0.690 0.989 0.274
0.000 0.333 0.667
0.500 0.000 0.000
0.500 0.667 0.333
```

## Properties
**Formation energy from raw total energies**: -2.2347 eV/atom



DFT (PBE) results for Pm7Sm2Tm3 after structural relaxation.

```
Pm7Sm2Tm3
1.0
3.557 0.000 0.000
0.000 6.377 0.877
0.000 2.218 17.934
Tm Pm Sm
3 7 2
Direct
0.000 0.886 0.658
0.500 0.500 0.000
0.000 0.114 0.342
0.500 0.944 0.829
0.500 0.238 0.505
0.000 0.000 0.000
0.000 0.442 0.835
0.500 0.056 0.171
0.500 0.762 0.495
0.000 0.558 0.165
0.500 0.388 0.671
0.500 0.612 0.329
```

## Properties
**Electronic total energy**: -55.3 eV/f.u.



DFT (PBE) results for Gd3YP after structural relaxation.

```
Gd3YP
1.0
5.441 0.000 0.000
0.000 5.441 0.000
0.000 0.000 5.441
P Gd Y
1 3 1
Direct
0.000 0.000 0.000
0.500 0.000 0.000
0.000 0.500 0.000
0.000 0.000 0.500
0.500 0.500 0.500
```

## Properties
**Electronic total energy**: -56.3 eV/f.u.



DFT (PBE) results for AlV6W12 after structural relaxation.

```
AlV6W12
1.0
-0.633 6.856 1.685
-6.246 -1.464 -3.016
-0.498 -3.221 6.295
W V Al
12 6 1
Direct
0.465 0.209 0.465
0.862 0.500 0.138
0.791 0.535 0.535
0.209 0.465 0.465
0.500 0.862 0.138
0.535 0.535 0.791
0.138 0.500 0.862
0.862 0.138 0.500
0.500 0.138 0.862
0.535 0.791 0.535
0.465 0.465 0.209
0.138 0.862 0.500
0.815 0.237 0.815
0.815 0.815 0.237
0.185 0.763 0.185
0.237 0.815 0.815
0.763 0.185 0.185
0.185 0.185 0.763
0.000 0.000 0.000
```

## Properties
**Electronic total energy**: -198.5 eV/f.u.



DFT (PBE) results for Tb5PrYEr2 after structural relaxation.

```
Tb5PrYEr2
1.0
5.612 0.000 0.000
-2.806 9.998 0.000
0.000 0.000 10.634
Tb Y Pr Er
10 2 2 4
Direct
0.300 0.600 0.707
0.606 0.212 0.525
0.983 0.966 0.526
0.700 0.400 0.207
0.719 0.438 0.806
0.017 0.034 0.026
0.281 0.562 0.306
0.478 0.956 0.739
0.522 0.044 0.239
0.394 0.788 0.025
0.413 0.827 0.454
0.587 0.173 0.954
0.202 0.404 0.011
0.798 0.596 0.511
0.114 0.228 0.319
0.886 0.772 0.819
0.891 0.782 0.237
0.109 0.218 0.737
```

## Properties
**Electronic total energy**: -42.1 eV/f.u.